[1]
DFT (PBE-GGA) results for a relaxed LiHg4Au crystal.

## Properties
- Formation energy from the elements: 0.0838 eV per atom
- Crystal system: cubic
- Magnetization: 0.00 μB per formula unit
- Excess energy over the best structure of this formula in the dataset: 225 meV per atom

a b c (Å): 5.923 5.923 5.923
angles (deg): 60.00 60.00 60.00
Fractional positions:
Li1 0.750 0.750 0.750
Hg1 0.875 0.375 0.375
Hg2 0.375 0.375 0.875
Hg3 0.375 0.875 0.375
Hg4 0.375 0.375 0.375
Au1 0.000 0.000 0.000


[2]
DFT (PBE-GGA) results for a relaxed SmHoThAl crystal.

## Properties
- Formation energy from the elements: -0.0213 eV per atom
- Crystal system: cubic
- Magnetization: 0.00 μB per formula unit

a b c (Å): 5.410 5.410 5.410
angles (deg): 60.00 60.00 60.00
Fractional positions:
Sm1 0.500 0.500 0.500
Ho1 0.750 0.750 0.750
Th1 0.000 0.000 0.000
Al1 0.250 0.250 0.250


[3]
DFT (PBE-GGA) results for a relaxed Ac3SnB crystal.

## Properties
- Formation energy from the elements: -0.1808 eV per atom
- Crystal system: cubic
- Magnetization: 0.00 μB per formula unit

a b c (Å): 5.550 5.550 5.550
angles (deg): 90.00 90.00 90.00
Fractional positions:
Ac1 0.000 0.500 0.000
Ac2 0.000 0.000 0.500
Ac3 0.500 0.000 0.000
B1 0.000 0.000 0.000
Sn1 0.500 0.500 0.500